[1]
## Fe2NiPt (PBE)

Data for a relaxed Fe2NiPt crystal.

```
data_Fe2NiPt
_cell_length_a 2.6520
_cell_length_b 2.6520
_cell_length_c 25.4197
_cell_angle_alpha 90.00
_cell_angle_beta 90.00
_cell_angle_gamma 120.00
_symmetry_space_group_name_H-M 'R -3 m'
_symmetry_Int_Tables_number 166
_symmetry_space_group_name_Hall '-R 3 2"'
loop_
_atom_site_label
_atom_site_type_symbol
_atom_site_fract_x
_atom_site_fract_y
_atom_site_fract_z
Fe1 Fe 0.0000 0.0000 0.2456
Ni1 Ni 0.0000 0.0000 0.5000
Pt1 Pt 0.0000 0.0000 0.0000
```

E: -7.23 eV/atom
Total moment: 19.06 Bohr magnetons per cell

[2]
## FeNiPt (PBE)

Data for a relaxed FeNiPt crystal.

```
data_FeNiPt
_cell_length_a 4.5625
_cell_length_b 2.6805
_cell_length_c 6.6246
_cell_angle_alpha 90.00
_cell_angle_beta 104.31
_cell_angle_gamma 90.00
_symmetry_space_group_name_H-M 'P 1 m 1'
_symmetry_Int_Tables_number 6
loop_
_symmetry_equiv_pos_as_xyz
'x,y,z'
'x,-y,z'
loop_
_atom_site_label
_atom_site_type_symbol
_atom_site_fract_x
_atom_site_fract_y
_atom_site_fract_z
Fe1 Fe 0.0000 0.0000 0.0000
Fe2 Fe 0.2162 0.0000 0.6682
Ni1 Ni 0.7469 0.5000 0.6733
Ni2 Ni 0.7867 0.0000 0.3469
Pt1 Pt 0.2865 0.5000 0.3451
Pt2 Pt 0.5084 0.5000 0.9944
```

Total moment: 7.77 Bohr magnetons per cell
Distance to the lowest polymorph of the same formula: 41.5 meV per atom

[3]
## FeNi4Pt3 (PBE)

Data for a relaxed FeNi4Pt3 crystal.

```
data_FeNi4Pt3
_cell_length_a 16.9709
_cell_length_b 2.6796
_cell_length_c 4.6413
_cell_angle_alpha 90.00
_cell_angle_beta 95.40
_cell_angle_gamma 90.00
_symmetry_space_group_name_H-M 'C 1 2/m 1'
_symmetry_Int_Tables_number 12
loop_
_symmetry_equiv_pos_as_xyz
'x,y,z'
'-x,-y,-z'
'-x,y,-z'
'x,-y,z'
'x+1/2,y+1/2,z'
'-x+1/2,-y+1/2,-z'
'-x+1/2,y+1/2,-z'
'x+1/2,-y+1/2,z'
loop_
_atom_site_label
_atom_site_type_symbol
_atom_site_fract_x
_atom_site_fract_y
_atom_site_fract_z
Fe1 Fe 0.0000 0.0000 0.0000
Ni1 Ni 0.1205 0.5000 0.8837
Ni2 Ni 0.1218 0.0000 0.3647
Pt1 Pt 0.0000 0.5000 0.5000
Pt2 Pt 0.2501 0.0000 0.7500
```

Total moment: 12.94 Bohr magnetons per cell
Distance to the lowest polymorph of the same formula: 51.2 meV per atom

[4]
## Fe10NiPt6 (PBE)

Data for a relaxed Fe10NiPt6 crystal.

```
data_Fe10NiPt6
_cell_length_a 7.5740
_cell_length_b 7.5740
_cell_length_c 4.8569
_cell_angle_alpha 90.00
_cell_angle_beta 90.00
_cell_angle_gamma 120.00
_symmetry_space_group_name_H-M 'P -3 1 m'
_symmetry_Int_Tables_number 162
_symmetry_space_group_name_Hall '-P 3 2'
loop_
_atom_site_label
_atom_site_type_symbol
_atom_site_fract_x
_atom_site_fract_y
_atom_site_fract_z
Fe1 Fe 0.0000 0.2611 0.2685
Fe2 Fe 0.3333 0.6667 0.0000
Fe3 Fe 0.3333 0.6667 0.5000
Ni1 Ni 0.0000 0.0000 0.0000
Pt1 Pt 0.0000 0.3908 0.7607
```

E: -7.44 eV/atom
Total moment: 32.60 Bohr magnetons per cell